# 1
Computed, not measured: crystalline Rb2TlOsBr6 at its relaxed geometry at the PBE level of DFT.

Values from the calculation:
calculated volume	36.2	Å³ per atom
energy	-33.9	eV/cell
energy relative to the elements, uncorrected	-833	meV/atom

Lattice parameters (Å, degrees): 7.9964 7.9964 7.9964 60.00 60.00 60.00
Sites, in units of the cell vectors:
Rb 0.2500 0.2500 0.2500
Rb 0.7500 0.7500 0.7500
Tl 0.0000 0.0000 0.0000
Os 0.5000 0.5000 0.5000
Br 0.2765 0.2765 0.7235
Br 0.2765 0.7235 0.2765
Br 0.2765 0.7235 0.7235
Br 0.7235 0.2765 0.2765
Br 0.7235 0.2765 0.7235
Br 0.7235 0.7235 0.2765

---

# 2
Computed, not measured: crystalline RbVOs2Br at its relaxed geometry at the PBE level of DFT.

Values from the calculation:
calculated volume	21.3	Å³ per atom
energy	-23.5	eV/cell
energy relative to the elements, uncorrected	2145	meV/atom

Lattice parameters (Å, degrees): 4.7913 4.7913 4.6459 90.00 90.00 90.00
Sites, in units of the cell vectors:
Rb 0.0000 0.0000 0.0000
V 0.5000 0.5000 0.0000
Os 0.0000 0.5000 0.5000
Os 0.5000 0.0000 0.5000
Br 0.5000 0.5000 0.5000

---

# 3
Computed, not measured: crystalline ReOs2Br at its relaxed geometry at the PBE level of DFT.

Values from the calculation:
calculated volume	16.1	Å³ per atom
polymorph energy (0 for the lowest one)	0.143	eV/atom
energy	-32.9	eV/cell
energy relative to the elements, uncorrected	920	meV/atom

Lattice parameters (Å, degrees): 2.8336 2.8336 8.0084 90.00 90.00 90.00
Sites, in units of the cell vectors:
Re 0.0000 0.0000 0.0000
Os 0.0000 0.0000 0.5442
Os 0.5000 0.5000 0.7664
Br 0.5000 0.5000 0.2318

---

# 4
Computed, not measured: crystalline ReOsBr2 at its relaxed geometry at the PBE level of DFT.

Values from the calculation:
calculated volume	21.6	Å³ per atom
polymorph energy (0 for the lowest one)	0.000	eV/atom
energy	-25.7	eV/cell
energy relative to the elements, uncorrected	324	meV/atom

Lattice parameters (Å, degrees): 3.1205 3.0523 9.0561 90.00 90.44 90.00
Sites, in units of the cell vectors:
Re 0.0000 0.0000 0.0000
Os 0.5036 0.5000 0.1582
Br 0.5080 0.0000 0.3920
Br 0.9947 0.5000 0.7728

---

# 5
Computed, not measured: crystalline ReOs2Br at its relaxed geometry at the PBE level of DFT.

Values from the calculation:
calculated volume	15.6	Å³ per atom
polymorph energy (0 for the lowest one)	0.628	eV/atom
energy	-31.0	eV/cell
energy relative to the elements, uncorrected	1405	meV/atom

Lattice parameters (Å, degrees): 4.7023 4.7023 4.7023 128.23 128.23 76.26
Sites, in units of the cell vectors:
Re 0.0000 0.0000 0.0000
Os 0.2500 0.7500 0.5000
Os 0.7500 0.2500 0.5000
Br 0.5000 0.5000 0.0000

---

# 6
Computed, not measured: crystalline ReOs2Br at its relaxed geometry at the PBE level of DFT.

Values from the calculation:
calculated volume	15.6	Å³ per atom
polymorph energy (0 for the lowest one)	0.921	eV/atom
energy	-29.8	eV/cell
energy relative to the elements, uncorrected	1698	meV/atom

Lattice parameters (Å, degrees): 4.0290 4.0290 3.8546 90.00 90.00 90.00
Sites, in units of the cell vectors:
Re 0.0000 0.0000 0.0000
Os 0.0000 0.5000 0.5000
Os 0.5000 0.0000 0.5000
Br 0.5000 0.5000 0.0000

---

# 7
Computed, not measured: crystalline ReOs3Br at its relaxed geometry at the PBE level of DFT.

Values from the calculation:
calculated volume	22.2	Å³ per atom
polymorph energy (0 for the lowest one)	0.000	eV/atom
energy	-35.4	eV/cell
energy relative to the elements, uncorrected	2473	meV/atom

Lattice parameters (Å, degrees): 4.8083 4.8083 4.8083 90.00 90.00 90.00
Sites, in units of the cell vectors:
Re 0.0000 0.0000 0.0000
Os 0.0000 0.0000 0.5000
Os 0.0000 0.5000 0.0000
Os 0.5000 0.0000 0.0000
Br 0.5000 0.5000 0.5000

---

# 8
Computed, not measured: crystalline ReOsBr2 at its relaxed geometry at the PBE level of DFT.

Values from the calculation:
calculated volume	22.0	Å³ per atom
polymorph energy (0 for the lowest one)	1.596	eV/atom
energy	-38.7	eV/cell
energy relative to the elements, uncorrected	1920	meV/atom

Lattice parameters (Å, degrees): 6.6972 6.6972 6.6972 129.08 129.08 74.89
Sites, in units of the cell vectors:
Re 0.0000 0.0000 0.0000
Re 0.7500 0.2500 0.5000
Os 0.2500 0.7500 0.5000
Os 0.5000 0.5000 0.0000
Br 0.1246 0.6250 0.9996
Br 0.3750 0.3746 0.4996
Br 0.6254 0.1250 0.0004
Br 0.8750 0.8754 0.5004